No. 1
A relaxed structure of TbSi. Source: OQMD, functional PBE.

Cell and atoms, written as CIF:
```
data_TbSi
_symmetry_space_group_name_H-M 'P -6 m 2'
_symmetry_Int_Tables_number 187
_symmetry_space_group_name_Hall 'P -6 2'
_cell_length_a 3.6952
_cell_length_b 3.6952
_cell_length_c 4.1395
_cell_angle_alpha 90.00
_cell_angle_beta 90.00
_cell_angle_gamma 120.00
loop_
_atom_site_label
_atom_site_fract_x
_atom_site_fract_y
_atom_site_fract_z
_atom_site_occupancy
Tb1 0.0000 0.0000 0.0000 1
Si1 0.3333 0.6667 0.5000 1
```

No. 2
A relaxed structure of Tb5Si4. Source: OQMD, functional PBE.

Cell and atoms, written as CIF:
```
data_Tb5Si4
_symmetry_space_group_name_H-M 'P n m a'
_symmetry_Int_Tables_number 62
_cell_length_a 7.483
_cell_length_b 14.653
_cell_length_c 7.729
_cell_angle_alpha 90.00
_cell_angle_beta 90.00
_cell_angle_gamma 90.00
loop_
_symmetry_equiv_pos_as_xyz
'x,y,z'
'-x,-y,-z'
'-x+1/2,-y,z+1/2'
'x+1/2,y,-z+1/2'
'x+1/2,-y+1/2,-z+1/2'
'-x+1/2,y+1/2,z+1/2'
'-x,y+1/2,-z'
'x,-y+1/2,z'
loop_
_atom_site_label
_atom_site_fract_x
_atom_site_fract_y
_atom_site_fract_z
_atom_site_occupancy
Tb1 0.032 0.099 0.184 1
Tb2 0.146 0.750 0.512 1
Tb3 0.184 0.123 0.680 1
Si1 0.020 0.750 0.103 1
Si2 0.143 0.541 0.472 1
Si3 0.237 0.250 0.374 1
```

No. 3
A relaxed structure of TbSi2. Source: OQMD, functional PBE.

Cell and atoms, written as CIF:
```
data_TbSi2
_symmetry_space_group_name_H-M 'P 6/m m m'
_symmetry_Int_Tables_number 191
_symmetry_space_group_name_Hall '-P 6 2'
_cell_length_a 4.0963
_cell_length_b 4.0963
_cell_length_c 3.9800
_cell_angle_alpha 90.00
_cell_angle_beta 90.00
_cell_angle_gamma 120.00
loop_
_atom_site_label
_atom_site_fract_x
_atom_site_fract_y
_atom_site_fract_z
_atom_site_occupancy
Tb1 0.0000 0.0000 0.0000 1
Si1 0.3333 0.6667 0.5000 1
```

Taking the records one at a time from the top gives density values of 6.34, 7.11, 6.18 g cm⁻³.
Taking the records one at a time from the top gives energy values of -0.194, -0.210, -0.209 hartree per atom.
Taking the records one at a time from the top gives volume values of 24.48, 23.54, 19.28 Å³ per atom.